A plane-wave DFT calculation with PBE-GGA was carried out for LiTcSn2Cl after structural relaxation.

Calculated values
SG: P4/mmm (123)
total magnetic moment: 0.000 μB/atom
DFT total energy: -4.26 eV/atom
formation energy (no corrections): 168 meV per atom

The structure in CIF format:
```
data_LiTcSn2Cl
_cell_length_a 5.1237
_cell_length_b 5.1237
_cell_length_c 5.3387
_cell_angle_alpha 90.00
_cell_angle_beta 90.00
_cell_angle_gamma 90.00
_space_group_name_H-M_alt 'P 1'
_space_group_IT_number 1
loop_
_space_group_symop_operation_xyz
'x,y,z'
loop_
_atom_site_label
_atom_site_type_symbol
_atom_site_fract_x
_atom_site_fract_y
_atom_site_fract_z
Li1 Li 0.0000 0.0000 0.0000
Tc1 Tc 0.5000 0.5000 0.5000
Sn1 Sn 0.0000 0.5000 0.5000
Sn2 Sn 0.5000 0.0000 0.5000
Cl1 Cl 0.5000 0.5000 0.0000
```



A plane-wave DFT calculation with PBE-GGA was carried out for Zr2Mo after structural relaxation.

Calculated values
energy above the lowest structure with this stoichiometry: 629 meV per atom
SG: P6_3/mmc (194)
total magnetic moment: 0.000 μB/atom
DFT total energy: -8.68 eV/atom

The structure in CIF format:
```
data_Zr2Mo
_cell_length_a 5.6764
_cell_length_b 5.6764
_cell_length_c 8.7045
_cell_angle_alpha 90.00
_cell_angle_beta 90.00
_cell_angle_gamma 120.00
_space_group_name_H-M_alt 'P 1'
_space_group_IT_number 1
loop_
_space_group_symop_operation_xyz
'x,y,z'
loop_
_atom_site_label
_atom_site_type_symbol
_atom_site_fract_x
_atom_site_fract_y
_atom_site_fract_z
Zr1 Zr 0.0000 0.0000 0.0000
Zr2 Zr 0.0000 0.0000 0.5000
Zr3 Zr 0.1759 0.3517 0.2500
Zr4 Zr 0.1759 0.8241 0.2500
Zr5 Zr 0.3517 0.1759 0.7500
Zr6 Zr 0.6483 0.8241 0.2500
Zr7 Zr 0.8241 0.1759 0.7500
Zr8 Zr 0.8241 0.6483 0.7500
Mo1 Mo 0.3333 0.6667 0.5686
Mo2 Mo 0.3333 0.6667 0.9314
Mo3 Mo 0.6667 0.3333 0.0686
Mo4 Mo 0.6667 0.3333 0.4314
```



A plane-wave DFT calculation with PBE-GGA was carried out for Cr2SiMo after structural relaxation.

Calculated values
SG: R-3m (166)
total magnetic moment: 0.001 μB/atom
DFT total energy: -8.64 eV/atom
formation energy (no corrections): 237 meV per atom

The structure in CIF format:
```
data_Cr2SiMo
_cell_length_a 8.6396
_cell_length_b 8.6396
_cell_length_c 8.6396
_cell_angle_alpha 17.83
_cell_angle_beta 17.83
_cell_angle_gamma 17.83
_space_group_name_H-M_alt 'P 1'
_space_group_IT_number 1
loop_
_space_group_symop_operation_xyz
'x,y,z'
loop_
_atom_site_label
_atom_site_type_symbol
_atom_site_fract_x
_atom_site_fract_y
_atom_site_fract_z
Cr1 Cr 0.2446 0.2446 0.2446
Cr2 Cr 0.7554 0.7554 0.7554
Si1 Si 0.5000 0.5000 0.5000
Mo1 Mo 0.0000 0.0000 0.0000
```



A plane-wave DFT calculation with PBE-GGA was carried out for Pr8TmTh4 after structural relaxation.

Calculated values
SG: R-3m (166)
total magnetic moment: 0.000 μB/atom
DFT total energy: -5.02 eV/atom

The structure in CIF format:
```
data_Pr8TmTh4
_cell_length_a 7.9474
_cell_length_b 7.9474
_cell_length_c 7.9474
_cell_angle_alpha 92.79
_cell_angle_beta 92.79
_cell_angle_gamma 92.79
_space_group_name_H-M_alt 'P 1'
_space_group_IT_number 1
loop_
_space_group_symop_operation_xyz
'x,y,z'
loop_
_atom_site_label
_atom_site_type_symbol
_atom_site_fract_x
_atom_site_fract_y
_atom_site_fract_z
Pr1 Pr 0.2284 0.2284 0.7361
Pr2 Pr 0.2284 0.7361 0.2284
Pr3 Pr 0.2363 0.2363 0.2363
Pr4 Pr 0.2639 0.7716 0.7716
Pr5 Pr 0.7361 0.2284 0.2284
Pr6 Pr 0.7637 0.7637 0.7637
Pr7 Pr 0.7716 0.2639 0.7716
Pr8 Pr 0.7716 0.7716 0.2639
Tm1 Tm 0.5000 0.5000 0.5000
Th1 Th 0.0000 0.0000 0.0000
Th2 Th 0.0000 0.5000 0.5000
Th3 Th 0.5000 0.0000 0.5000
Th4 Th 0.5000 0.5000 0.0000
```



Repeat the third record exactly.
A plane-wave DFT calculation with PBE-GGA was carried out for Cr2SiMo after structural relaxation.

Calculated values
SG: R-3m (166)
total magnetic moment: 0.001 μB/atom
DFT total energy: -8.64 eV/atom
formation energy (no corrections): 237 meV per atom

The structure in CIF format:
```
data_Cr2SiMo
_cell_length_a 8.6396
_cell_length_b 8.6396
_cell_length_c 8.6396
_cell_angle_alpha 17.83
_cell_angle_beta 17.83
_cell_angle_gamma 17.83
_space_group_name_H-M_alt 'P 1'
_space_group_IT_number 1
loop_
_space_group_symop_operation_xyz
'x,y,z'
loop_
_atom_site_label
_atom_site_type_symbol
_atom_site_fract_x
_atom_site_fract_y
_atom_site_fract_z
Cr1 Cr 0.2446 0.2446 0.2446
Cr2 Cr 0.7554 0.7554 0.7554
Si1 Si 0.5000 0.5000 0.5000
Mo1 Mo 0.0000 0.0000 0.0000
```



- Number 2 is which compound?
  Zr2Mo



- Which of these has the highest DFT total energy?
  LiTcSn2Cl